Entry 1:
This record from the Alexandria database describes a relaxed structure of CaAg2Cl5. The functional is PBE-GGA.

Values from the calculation:
Calculated volume: 251 Å³/cell
E_form (uncorrected): -1.0804 eV per atom

```
CaAg2Cl5
1.0
5.705 0.283 3.256
3.314 6.299 1.059
0.109 0.548 7.174
Cl Ag Ca
5 2 1
Direct
0.466 0.724 0.724
0.071 0.328 0.777
0.071 0.777 0.328
0.655 0.328 0.328
0.609 0.977 0.977
0.579 0.592 0.042
0.579 0.042 0.592
0.971 0.009 0.009
```

---

Entry 2:
This record from the Alexandria database describes a relaxed structure of Cr2OsI. The functional is PBE-GGA.

Values from the calculation:
Calculated volume: 188 Å³/cell
E_form (uncorrected): 1.0772 eV per atom
Excess energy over the best structure of this formula in the dataset: 0 meV per atom

```
Cr2OsI
1.0
6.499 0.000 0.000
0.000 6.499 0.000
3.250 3.250 4.446
Cr Os I
4 2 2
Direct
0.375 0.325 0.750
0.875 0.925 0.750
0.075 0.625 0.250
0.675 0.125 0.250
0.000 0.000 0.000
0.750 0.250 0.500
0.250 0.750 0.500
0.500 0.500 0.000
```

---

Entry 3:
This record from the Alexandria database describes a relaxed structure of LiY2PbS. The functional is PBE-GGA.

Values from the calculation:
Calculated volume: 235 Å³/cell
E_form (uncorrected): -1.0381 eV per atom
Excess energy over the best structure of this formula in the dataset: 0 meV per atom

```
LiY2PbS
1.0
-2.658 2.538 1.655
-5.032 -1.791 -5.335
-0.971 -5.103 6.267
Y Li S Pb
4 2 2 2
Direct
0.750 0.755 0.022
0.250 0.245 0.978
0.750 0.882 0.614
0.250 0.118 0.386
0.750 0.448 0.356
0.250 0.552 0.644
0.250 0.853 0.831
0.750 0.147 0.169
0.250 0.672 0.296
0.750 0.328 0.704
```

---

Entry 4:
This record from the Alexandria database describes a relaxed structure of NaCa5Se6. The functional is PBE-GGA.

Values from the calculation:
Calculated volume: 318 Å³/cell
E_form (uncorrected): -1.7685 eV per atom

```
NaCa5Se6
1.0
7.218 0.177 1.097
1.774 6.123 3.569
0.121 0.064 7.307
Ca Se Na
5 6 1
Direct
0.000 0.333 0.334
0.500 0.500 0.000
0.500 0.836 0.329
0.000 0.667 0.666
0.500 0.164 0.671
0.253 0.576 0.339
0.253 0.255 0.000
0.253 0.915 0.661
0.747 0.085 0.339
0.747 0.424 0.661
0.747 0.745 0.000
0.000 0.000 0.000
```

---

Entry 5:
This record from the Alexandria database describes a relaxed structure of BaTl8Pb2. The functional is PBE-GGA.

Values from the calculation:
Calculated volume: 366 Å³/cell
DFT formation energy: -0.065 eV per atom

```
BaTl8Pb2
1.0
-3.340 3.465 -3.720
-8.383 -1.242 -4.561
-8.407 2.671 4.571
Tl Ba Pb
8 1 2
Direct
0.270 0.482 0.000
0.730 0.518 0.000
0.213 0.634 0.273
0.213 0.906 0.727
0.500 0.791 0.418
0.787 0.366 0.727
0.787 0.094 0.273
0.500 0.209 0.582
0.500 0.000 0.000
0.000 0.327 0.347
0.000 0.673 0.653
```

---

Entry 6:
This record from the Alexandria database describes a relaxed structure of TiNbTlCo2. The functional is PBE-GGA.

Values from the calculation:
Calculated volume: 92 Å³/cell
DFT formation energy: 1.021 eV per atom

```
TiNbTlCo2
1.0
-3.327 2.071 1.922
1.957 -0.871 4.326
2.203 3.760 -0.239
Nb Co Ti Tl
1 2 1 1
Direct
0.000 0.500 0.000
0.500 0.000 0.000
0.000 0.000 0.500
0.000 0.000 0.000
0.500 0.500 0.500
```